{"formula": "LiZnPbF6", "functional": "PBE", "state": "optimized geometry", "dos_ef_per_ev_cell": 3.4, "e_form_raw_ev_per_fu": -21.0, "lattice": [[5.299, 0.000, 0.000], [2.650, 4.589, 0.000], [0.000, 0.000, 4.959]], "species": ["Li", "Zn", "Pb", "F", "F", "F", "F", "F", "F"], "fractional_positions": [[0.333, 0.333, 0.500], [0.667, 0.667, 0.500], [0.000, 0.000, 0.000], [0.997, 0.352, 0.274], [0.352, 0.998, 0.726], [0.651, 0.352, 0.726], [0.997, 0.651, 0.726], [0.352, 0.651, 0.274], [0.651, 0.998, 0.274]]}